# Rb2PuSe3

A relaxed structure of Rb2PuSe3 (PBE, the Alexandria database).

Total magnetization = 4.00 μB/f.u.
Space-group type = C2/m (12)
Raw formation energy = -1284 meV/atom
VASP energy = -68.848 eV/cell

POSCAR file:
```
Rb2PuSe3
1.0
3.854 -6.671 0.000
3.854 6.671 0.000
-2.638 0.000 7.961
Rb Pu Se
4 2 6
Direct
0.000 0.000 0.000 Rb
0.153 0.847 0.500 Rb
0.500 0.500 0.500 Rb
0.847 0.153 0.500 Rb
0.332 0.668 0.000 Pu
0.668 0.332 0.000 Pu
0.069 0.452 0.200 Se
0.315 0.315 0.804 Se
0.452 0.069 0.200 Se
0.548 0.931 0.800 Se
0.685 0.685 0.196 Se
0.931 0.548 0.800 Se
```

***

# Rb2PuSiSe4

A relaxed structure of Rb2PuSiSe4 (PBE, the Alexandria database).

Total magnetization = 3.99 μB/f.u.
Space-group type = Imma (74)
Raw formation energy = -884 meV/atom
VASP energy = -85.398 eV/cell

POSCAR file:
```
Rb2PuSiSe4
1.0
-4.397 4.403 6.172
4.397 -4.403 6.172
4.397 4.403 -6.172
Rb Pu Si Se
4 2 2 8
Direct
0.000 0.000 0.000 Rb
0.500 0.000 0.000 Rb
0.500 0.000 0.500 Rb
0.500 0.500 0.500 Rb
0.000 0.500 0.500 Pu
0.500 0.500 0.000 Pu
0.000 0.000 0.500 Si
0.000 0.500 0.000 Si
0.184 0.728 0.456 Se
0.226 0.264 0.538 Se
0.226 0.687 0.962 Se
0.228 0.272 0.956 Se
0.772 0.728 0.044 Se
0.774 0.313 0.038 Se
0.774 0.736 0.462 Se
0.816 0.272 0.544 Se
```

***

# Rb4Sm3PuSe8

A relaxed structure of Rb4Sm3PuSe8 (PBE, the Alexandria database).

Total magnetization = 5.00 μB/f.u.
Space-group type = R-3m (166)
Raw formation energy = -1655 meV/atom
VASP energy = -86.722 eV/cell

POSCAR file:
```
Rb4Sm3PuSe8
1.0
4.333 2.502 7.996
-4.333 2.502 7.996
0.000 -5.004 7.996
Rb Sm Pu Se
4 3 1 8
Direct
0.000 0.000 0.000 Rb
0.000 0.500 0.500 Rb
0.500 0.000 0.500 Rb
0.500 0.500 0.000 Rb
0.000 0.000 0.500 Sm
0.000 0.500 0.000 Sm
0.500 0.000 0.000 Sm
0.500 0.500 0.500 Pu
0.233 0.233 0.233 Se
0.233 0.732 0.732 Se
0.268 0.268 0.767 Se
0.268 0.767 0.268 Se
0.732 0.233 0.732 Se
0.732 0.732 0.233 Se
0.767 0.268 0.268 Se
0.767 0.767 0.767 Se
```